Entry 1:
# RbYTi, optimized geometry, DFT GGA-PBE
data_RbYTi
_chemical_formula_sum 'Rb4 Y4 Ti4'
_symmetry_space_group_name_H-M 'P n m a'
_symmetry_Int_Tables_number 62
_cell_length_a 14.642
_cell_length_b 6.251
_cell_length_c 5.299
_cell_angle_alpha 90.00
_cell_angle_beta 90.00
_cell_angle_gamma 90.00
loop_
_symmetry_equiv_pos_as_xyz
'x,y,z'
'-x,-y,-z'
'-x+1/2,-y,z+1/2'
'x+1/2,y,-z+1/2'
'x+1/2,-y+1/2,-z+1/2'
'-x+1/2,y+1/2,z+1/2'
'-x,y+1/2,-z'
'x,-y+1/2,z'
loop_
_atom_site_label
_atom_site_type_symbol
_atom_site_fract_x
_atom_site_fract_y
_atom_site_fract_z
Rb1 Rb 0.231 0.250 0.002
Y1 Y 0.000 0.000 0.500
Ti1 Ti 0.018 0.750 0.000
# - ρ (kg/m³) = 3044
# - energy relative to the elements (meV per atom) = 848
# - E above lowest polymorph (meV/atom) = 574.1


Entry 2:
# OsRu2, optimized geometry, DFT GGA-PBE
data_OsRu2
_chemical_formula_sum 'Os4 Ru8'
_symmetry_space_group_name_H-M 'F m -3 m'
_symmetry_Int_Tables_number 225
_symmetry_space_group_name_Hall '-F 4 2 3'
_cell_length_a 5.860
_cell_length_b 5.860
_cell_length_c 5.860
_cell_angle_alpha 90.00
_cell_angle_beta 90.00
_cell_angle_gamma 90.00
loop_
_atom_site_label
_atom_site_type_symbol
_atom_site_fract_x
_atom_site_fract_y
_atom_site_fract_z
Os1 Os 0.000 0.000 0.000
Ru1 Ru 0.250 0.250 0.250
# - ρ (kg/m³) = 12952
# - energy relative to the elements (meV per atom) = 651
# - E above lowest polymorph (meV/atom) = 660.6


The final energy results, record by record, are as follows: -4.26, -9.28 eV per atom.